Entry 1:
Computed, not measured: a geometry-optimized Si3Ag2 structure at the GGA-PBE level of DFT.

abc: 3.7141 3.7141 7.8659
angles: 90.00 90.00 120.00
Space group P-3m1 (No. 164)
Unique sites:
Si (0.0000, 0.0000, 0.0000) x1
Si (0.3333, 0.6667, 0.4405) x2
Ag (0.3333, 0.6667, 0.7973) x2

DFT total energy = -4.002 eV per atom
ΔE to the lowest computed polymorph = 4.5 kJ per mole of atoms

---

Entry 2:
Computed, not measured: a geometry-optimized SiAg structure at the GGA-PBE level of DFT.

abc: 7.2974 7.2974 4.6194
angles: 90.00 90.00 120.00
Space group P6_3/m (No. 176)
Unique sites:
Si (0.1040, 0.6164, 0.2500) x6
Ag (0.0674, 0.7987, 0.7500) x6

DFT total energy = -3.789 eV per atom
ΔE to the lowest computed polymorph = 12.2 kJ per mole of atoms

---

> Which value of DFT total energy does entry 1 give?

-4.002 eV per atom